No. 1
## ErCd2 (GGA-PBE)

Data for crystalline ErCd2 at its relaxed geometry.

Lattice parameters (Å, degrees): 6.9924 6.9924 6.9924 90.00 90.00 90.00
Space group Fm-3m (No. 225)
Inequivalent atoms, fractional coordinates:
Er1 0.0000 0.0000 0.0000 [4 per cell]
Cd1 0.2500 0.2500 0.2500 [8 per cell]

Computed properties:
- DFT formation energy (meV/atom) = 168

=====

No. 2
## RbPr2 (GGA-PBE)

Data for crystalline RbPr2 at its relaxed geometry.

Lattice parameters (Å, degrees): 10.4463 10.4463 10.4463 90.00 90.00 90.00
Space group Fd-3m (No. 227, origin choice 2)
Inequivalent atoms, fractional coordinates:
Rb1 0.1250 0.1250 0.1250 [8 per cell]
Pr1 0.0000 0.0000 0.5000 [16 per cell]

Computed properties:
- total DFT energy (no corrections) (eV per atom) = -2.95

=====

No. 3
## TePt8 (GGA-PBE)

Data for crystalline TePt8 at its relaxed geometry.

Lattice parameters (Å, degrees): 7.7920 7.7920 2.8275 90.00 90.00 120.00
Space group P-62m (No. 189)
Inequivalent atoms, fractional coordinates:
Te1 0.0000 0.0000 0.0000 [1 per cell]
Pt1 0.0000 0.3111 0.5000 [3 per cell]
Pt2 0.0000 0.6428 0.0000 [3 per cell]
Pt3 0.3333 0.6667 0.5000 [2 per cell]

Computed properties:
- energy above the most stable polymorph in this dataset (meV per atom) = 157

=====

| no. | theoretical density (g cm⁻³) | magnetization (μB per formula unit) |
| --- | --- | --- |
| 1 | 7.618 | 0.0 |
| 2 | 4.280 | 0.8 |
| 3 | 18.857 | 0.2 |